(1)
Density functional theory data (GGA-PBE) for a relaxed ScCo2Ru crystal.

a = 4.2933 Å, b = 4.2933 Å, c = 4.2933 Å
α = 60.00°, β = 60.00°, γ = 60.00°
Sites, in units of the cell vectors:
1 Sc 0.0000 0.0000 0.0000
2 Co 0.2500 0.2500 0.2500
3 Co 0.7500 0.7500 0.7500
4 Ru 0.5000 0.5000 0.5000

Output
Energy (eV per atom): -7.543
Energy relative to the elements (eV per atom): -0.088
Total moment (μB/cell): 4.13
Energy above the most stable polymorph in this dataset (eV/atom): 0.003

=====

(2)
Density functional theory data (GGA-PBE) for a relaxed La2SbBr crystal.

a = 8.2815 Å, b = 8.2815 Å, c = 8.2815 Å
α = 30.96°, β = 30.96°, γ = 30.96°
Sites, in units of the cell vectors:
1 La 0.0000 0.0000 0.0000
2 La 0.1801 0.1801 0.1801
3 Sb 0.5891 0.5891 0.5891
4 Br 0.7580 0.7580 0.7580

Output
Energy (eV per atom): -5.183
Total moment (μB/cell): 0.00
Formation energy without anion corrections (meV per atom): -1270

=====

(3)
Density functional theory data (GGA-PBE) for a relaxed Pm2SiSe crystal.

a = 9.4201 Å, b = 9.4201 Å, c = 7.3140 Å
α = 104.92°, β = 104.92°, γ = 126.51°
Sites, in units of the cell vectors:
1 Pm 0.0591 0.4344 0.7437
2 Pm 0.1767 0.3020 0.2432
3 Pm 0.3020 0.1767 0.7432
4 Pm 0.4344 0.0591 0.2437
5 Pm 0.5656 0.9409 0.7563
6 Pm 0.6980 0.8233 0.2568
7 Pm 0.8233 0.6980 0.7568
8 Pm 0.9409 0.5656 0.2563
9 Si 0.0648 0.9352 0.2500
10 Si 0.1897 0.8103 0.7500
11 Si 0.8103 0.1897 0.2500
12 Si 0.9352 0.0648 0.7500
13 Se 0.3144 0.6856 0.2500
14 Se 0.4392 0.5608 0.7500
15 Se 0.5608 0.4392 0.2500
16 Se 0.6856 0.3144 0.7500

Output
Energy (eV per atom): -5.921
Total moment (μB/cell): 0.00
Formation energy without anion corrections (meV per atom): -1319
Energy above the most stable polymorph in this dataset (eV/atom): 0.000

=====

(4)
Density functional theory data (GGA-PBE) for a relaxed AuBr2Cl5 crystal.

a = 4.8156 Å, b = 7.3146 Å, c = 8.3164 Å
α = 63.94°, β = 89.68°, γ = 89.49°
Sites, in units of the cell vectors:
1 Au 0.0000 0.0000 0.0000
2 Br 0.5022 0.7372 0.5247
3 Br 0.5027 0.2628 0.4755
4 Cl 0.9999 0.5000 0.0000
5 Cl 0.0024 0.7639 0.4724
6 Cl 0.0026 0.2363 0.5276
7 Cl 0.2903 0.7518 0.9987
8 Cl 0.7097 0.2481 0.0013

Output
Energy (eV per atom): -1.958
Total moment (μB/cell): 0.00
Formation energy without anion corrections (meV per atom): 24

=====

(5)
Density functional theory data (GGA-PBE) for a relaxed K2MoAs crystal.

a = 10.5144 Å, b = 10.5144 Å, c = 3.9692 Å
α = 100.62°, β = 100.62°, γ = 17.53°
Sites, in units of the cell vectors:
1 K 0.1481 0.1481 0.1428
2 K 0.8519 0.8519 0.8572
3 Mo 0.0000 0.0000 0.5000
4 As 0.5000 0.5000 0.0000

Output
Energy (eV per atom): -4.078
Energy relative to the elements (eV per atom): 0.341
Total moment (μB/cell): 0.58

=====

(6)
Density functional theory data (GGA-PBE) for a relaxed HfVCuOs crystal.

a = 4.4322 Å, b = 4.4322 Å, c = 4.4322 Å
α = 60.00°, β = 60.00°, γ = 60.00°
Sites, in units of the cell vectors:
1 Hf 0.0000 0.0000 0.0000
2 V 0.5000 0.5000 0.5000
3 Cu 0.7500 0.7500 0.7500
4 Os 0.2500 0.2500 0.2500

Output
Energy (eV per atom): -8.755
Energy relative to the elements (eV per atom): -0.155
Total moment (μB/cell): 0.00

=====

(7)
Density functional theory data (GGA-PBE) for a relaxed NaHfS2 crystal.

a = 7.0742 Å, b = 7.0742 Å, c = 7.0742 Å
α = 128.02°, β = 128.02°, γ = 76.59°
Sites, in units of the cell vectors:
1 Na 0.0000 0.0000 0.0000
2 Na 0.7500 0.2500 0.5000
3 Hf 0.2500 0.7500 0.5000
4 Hf 0.5000 0.5000 0.0000
5 S 0.1676 0.6250 0.0426
6 S 0.3750 0.4176 0.5426
7 S 0.5824 0.1250 0.9574
8 S 0.8750 0.8324 0.4574

Output
Energy (eV per atom): -5.986
Total moment (μB/cell): 1.67
Formation energy without anion corrections (meV per atom): -1104

=====

(8)
Density functional theory data (GGA-PBE) for a relaxed LuPuZnIn crystal.

a = 5.1775 Å, b = 5.1775 Å, c = 5.1775 Å
α = 60.00°, β = 60.00°, γ = 60.00°
Sites, in units of the cell vectors:
1 Lu 0.0000 0.0000 0.0000
2 Pu 0.5000 0.5000 0.5000
3 Zn 0.7500 0.7500 0.7500
4 In 0.2500 0.2500 0.2500

Output
Energy (eV per atom): -5.910
Energy relative to the elements (eV per atom): -0.194
Total moment (μB/cell): 6.03

=====

(9)
Density functional theory data (GGA-PBE) for a relaxed AcPmSm2Tm5 crystal.

a = 9.9183 Å, b = 9.9183 Å, c = 9.9183 Å
α = 127.31°, β = 127.31°, γ = 77.75°
Sites, in units of the cell vectors:
1 Ac 0.2500 0.2500 0.0000
2 Ac 0.7500 0.7500 0.0000
3 Pm 0.2500 0.7500 0.5000
4 Pm 0.7500 0.2500 0.5000
5 Sm 0.1161 0.6161 0.7323
6 Sm 0.3839 0.1161 0.5000
7 Sm 0.6161 0.8839 0.5000
8 Sm 0.8839 0.3839 0.2677
9 Tm 0.0000 0.0000 0.0000
10 Tm 0.0750 0.1634 0.5000
11 Tm 0.1634 0.6634 0.0884
12 Tm 0.3366 0.4250 0.5000
13 Tm 0.4250 0.9250 0.0884
14 Tm 0.5000 0.5000 0.0000
15 Tm 0.5750 0.0750 0.9116
16 Tm 0.6634 0.5750 0.5000
17 Tm 0.8366 0.3366 0.9116
18 Tm 0.9250 0.8366 0.5000

Output
Energy (eV per atom): -4.261
Energy relative to the elements (eV per atom): 0.256
Total moment (μB/cell): 0.00

=====

(10)
Density functional theory data (GGA-PBE) for a relaxed NaVCd2 crystal.

a = 6.3635 Å, b = 6.3635 Å, c = 6.3635 Å
α = 103.49°, β = 103.49°, γ = 122.24°
Sites, in units of the cell vectors:
1 Na 0.0000 0.0000 0.0000
2 Na 0.7500 0.2500 0.5000
3 V 0.2500 0.7500 0.5000
4 V 0.5000 0.5000 0.0000
5 Cd 0.1412 0.6250 0.0162
6 Cd 0.3750 0.3912 0.5162
7 Cd 0.6088 0.1250 0.9838
8 Cd 0.8750 0.8588 0.4838

Output
Energy (eV per atom): -2.495
Energy relative to the elements (eV per atom): 0.572
Total moment (μB/cell): 7.08
Energy above the most stable polymorph in this dataset (eV/atom): 0.208

=====

(11)
Density functional theory data (GGA-PBE) for a relaxed Y2Zn5Si crystal.

a = 8.1697 Å, b = 8.1697 Å, c = 8.7809 Å
α = 90.00°, β = 90.00°, γ = 149.67°
Sites, in units of the cell vectors:
1 Y 0.0000 0.0000 0.0000
2 Y 0.0000 0.0000 0.5000
3 Y 0.1985 0.8015 0.7500
4 Y 0.8015 0.1985 0.2500
5 Zn 0.1880 0.8120 0.1064
6 Zn 0.1880 0.8120 0.3936
7 Zn 0.3520 0.6480 0.0255
8 Zn 0.3520 0.6480 0.4745
9 Zn 0.4006 0.5994 0.7500
10 Zn 0.5994 0.4006 0.2500
11 Zn 0.6480 0.3520 0.5255
12 Zn 0.6480 0.3520 0.9745
13 Zn 0.8120 0.1880 0.6063
14 Zn 0.8120 0.1880 0.8936
15 Si 0.4460 0.5540 0.2500
16 Si 0.5540 0.4460 0.7500

Output
Energy (eV per atom): -3.537
Total moment (μB/cell): 0.00
Formation energy without anion corrections (meV per atom): -447

=====

(12)
Density functional theory data (GGA-PBE) for a relaxed LiBiHPt2 crystal.

a = 4.0866 Å, b = 4.0866 Å, c = 4.3867 Å
α = 90.00°, β = 90.00°, γ = 90.00°
Sites, in units of the cell vectors:
1 Li 0.0000 0.0000 0.0000
2 Bi 0.5000 0.5000 0.0000
3 H 0.0000 0.0000 0.5000
4 Pt 0.0000 0.5000 0.5000
5 Pt 0.5000 0.0000 0.5000

Output
Energy (eV per atom): -4.500
Total moment (μB/cell): 0.00

=====

(13)
Density functional theory data (GGA-PBE) for a relaxed CdPtW2 crystal.

a = 4.9088 Å, b = 4.9088 Å, c = 4.9088 Å
α = 130.59°, β = 130.59°, γ = 72.47°
Sites, in units of the cell vectors:
1 Cd 0.0000 0.0000 0.0000
2 Pt 0.2500 0.7500 0.5000
3 W 0.5000 0.5000 0.0000
4 W 0.7500 0.2500 0.5000

Output
Energy (eV per atom): -7.866
Energy relative to the elements (eV per atom): 0.350
Total moment (μB/cell): 0.00

=====

(14)
Density functional theory data (GGA-PBE) for a relaxed CrCdSe crystal.

a = 3.5250 Å, b = 3.5250 Å, c = 6.0328 Å
α = 90.00°, β = 90.00°, γ = 120.00°
Sites, in units of the cell vectors:
1 Cr 0.0000 0.0000 0.0000
2 Cd 0.3333 0.6667 0.6504
3 Se 0.6667 0.3333 0.2282

Output
Energy (eV per atom): -4.682
Total moment (μB/cell): 3.35
Formation energy without anion corrections (meV per atom): -7
Energy above the most stable polymorph in this dataset (eV/atom): 0.000

=====

(15)
Density functional theory data (GGA-PBE) for a relaxed Mg2AlS crystal.

a = 4.8254 Å, b = 4.8254 Å, c = 4.8254 Å
α = 60.00°, β = 60.00°, γ = 60.00°
Sites, in units of the cell vectors:
1 Mg 0.2500 0.2500 0.2500
2 Mg 0.7500 0.7500 0.7500
3 Al 0.0000 0.0000 0.0000
4 S 0.5000 0.5000 0.5000

Output
Energy (eV per atom): -2.714
Total moment (μB/cell): 0.00
Formation energy without anion corrections (meV per atom): 51
Energy above the most stable polymorph in this dataset (eV/atom): 0.368

=====

(16)
Density functional theory data (GGA-PBE) for a relaxed Nd2InAgS5 crystal.

a = 8.9294 Å, b = 8.9294 Å, c = 11.4050 Å
α = 90.00°, β = 90.00°, γ = 153.99°
Sites, in units of the cell vectors:
1 Nd 0.1185 0.8815 0.5000
2 Nd 0.1240 0.8760 0.8787
3 Nd 0.8760 0.1240 0.3787
4 Nd 0.8815 0.1185 0.0000
5 In 0.4124 0.5876 0.6777
6 In 0.5876 0.4124 0.1777
7 Ag 0.2290 0.7710 0.2065
8 Ag 0.7710 0.2290 0.7065
9 S 0.0327 0.9673 0.2760
10 S 0.3003 0.6997 0.5316
11 S 0.3042 0.6958 0.8596
12 S 0.3711 0.6289 0.1926
13 S 0.4875 0.5125 0.4829
14 S 0.5125 0.4875 0.9829
15 S 0.6289 0.3711 0.6926
16 S 0.6958 0.3042 0.3596
17 S 0.6997 0.3003 0.0316
18 S 0.9673 0.0327 0.7760

Output
Energy (eV per atom): -5.239
Total moment (μB/cell): 0.00
Formation energy without anion corrections (meV per atom): -1265

=====

(17)
Density functional theory data (GGA-PBE) for a relaxed NaYHf crystal.

a = 9.3334 Å, b = 9.3334 Å, c = 5.7421 Å
α = 95.10°, β = 95.10°, γ = 20.59°
Sites, in units of the cell vectors:
1 Na 0.2296 0.2296 0.2433
2 Na 0.7704 0.7704 0.7567
3 Y 0.0754 0.0816 0.6864
4 Y 0.9184 0.9246 0.3136
5 Hf 0.4356 0.4413 0.8175
6 Hf 0.5587 0.5644 0.1825

Output
Energy (eV per atom): -5.631
Energy relative to the elements (eV per atom): 0.281
Total moment (μB/cell): 0.00
Energy above the most stable polymorph in this dataset (eV/atom): 0.162

=====

(18)
Density functional theory data (GGA-PBE) for a relaxed TmScCdRu crystal.

a = 3.3485 Å, b = 3.3485 Å, c = 7.3968 Å
α = 90.00°, β = 90.00°, γ = 90.00°
Sites, in units of the cell vectors:
1 Tm 0.0000 0.0000 0.0000
2 Sc 0.0000 0.0000 0.5720
3 Cd 0.5000 0.5000 0.3035
4 Ru 0.5000 0.5000 0.7716

Output
Energy (eV per atom): -5.731
Energy relative to the elements (eV per atom): -0.483
Total moment (μB/cell): 0.00
Energy above the most stable polymorph in this dataset (eV/atom): 0.000

=====

(19)
Density functional theory data (GGA-PBE) for a relaxed SrAc2Cd crystal.

a = 6.0563 Å, b = 6.0563 Å, c = 6.0563 Å
α = 60.00°, β = 60.00°, γ = 60.00°
Sites, in units of the cell vectors:
1 Sr 0.0000 0.0000 0.0000
2 Ac 0.2500 0.2500 0.2500
3 Ac 0.7500 0.7500 0.7500
4 Cd 0.5000 0.5000 0.5000

Output
Energy (eV per atom): -2.680
Energy relative to the elements (eV per atom): 0.023
Total moment (μB/cell): 0.00
Energy above the most stable polymorph in this dataset (eV/atom): 0.120

=====

(20)
Density functional theory data (GGA-PBE) for a relaxed Li2Ca4Tl crystal.

a = 9.2502 Å, b = 9.2502 Å, c = 9.2502 Å
α = 34.40°, β = 34.40°, γ = 34.40°
Sites, in units of the cell vectors:
1 Li 0.2403 0.2403 0.2403
2 Li 0.7597 0.7597 0.7597
3 Ca 0.1184 0.1184 0.1184
4 Ca 0.3718 0.3718 0.3718
5 Ca 0.6282 0.6282 0.6282
6 Ca 0.8816 0.8816 0.8816
7 Tl 0.5000 0.5000 0.5000

Output
Energy (eV per atom): -2.104
Energy relative to the elements (eV per atom): -0.075
Total moment (μB/cell): 0.00
Energy above the most stable polymorph in this dataset (eV/atom): 0.000